No. 1
TlIn2W: relaxed, GGA-PBE.

abc: 3.0571 4.8247 5.9275
angles: 90.00 90.00 90.00
Element x y z (fractional)
Tl 0.0000 0.0000 0.4937
In 0.0000 0.0000 0.9726
W 0.5000 0.5000 0.7730
In 0.5000 0.5000 0.2607

Properties
* calculated formation energy: 0.718 eV/atom
* density: 11.735 Mg/m³
* DFT total energy: -4.48 eV per atom
* E above lowest polymorph: 204 meV/atom

---

No. 2
TlIn2W: relaxed, GGA-PBE.

abc: 2.9734 2.9734 10.5171
angles: 90.00 90.00 90.00
Element x y z (fractional)
In 0.0000 0.0000 0.5403
W 0.5000 0.5000 0.7500
Tl 0.5000 0.5000 0.2500
In 0.0000 0.0000 0.9597

Properties
* calculated formation energy: 0.528 eV/atom
* density: 11.034 Mg/m³
* DFT total energy: -4.67 eV per atom
* E above lowest polymorph: 14 meV/atom

---

No. 3
TlIn2W: relaxed, GGA-PBE.

abc: 5.1032 5.1032 5.1032
angles: 60.00 60.00 60.00
Element x y z (fractional)
Tl 0.5000 0.5000 0.5000
In 0.7500 0.7500 0.7500
In 0.2500 0.2500 0.2500
W 0.0000 0.0000 0.0000

Properties
* calculated formation energy: 1.000 eV/atom
* density: 10.917 Mg/m³
* DFT total energy: -4.20 eV per atom
* E above lowest polymorph: 486 meV/atom

---

No. 4
Tl3InW: relaxed, GGA-PBE.

abc: 5.6753 5.6753 5.6753
angles: 90.00 90.00 90.00
Element x y z (fractional)
Tl 0.0000 0.5000 0.0000
Tl 0.5000 0.0000 0.0000
Tl 0.0000 0.0000 0.5000
In 0.0000 0.0000 0.0000
W 0.5000 0.5000 0.5000

Properties
* calculated formation energy: 1.565 eV/atom
* density: 8.283 Mg/m³
* DFT total energy: -2.99 eV per atom
* E above lowest polymorph: 848 meV/atom

---

No. 5
TlIn2W: relaxed, GGA-PBE.

abc: 4.7683 3.0543 6.6754
angles: 62.82 90.00 90.00
Element x y z (fractional)
In 0.0000 0.0132 0.9856
Tl 0.5000 0.2500 0.2500
In 0.0000 0.4868 0.5144
W 0.5000 0.7500 0.7500

Properties
* calculated formation energy: 0.655 eV/atom
* density: 11.863 Mg/m³
* DFT total energy: -4.54 eV per atom
* E above lowest polymorph: 141 meV/atom

---

No. 6
TlIn2W: relaxed, GGA-PBE.

abc: 3.0672 5.4520 6.2767
angles: 55.02 90.00 90.00
Element x y z (fractional)
In 0.5000 0.5000 0.0000
In 0.0000 0.0000 0.0000
W 0.0000 0.0000 0.5000
Tl 0.5000 0.5000 0.5000

Properties
* calculated formation energy: 0.782 eV/atom
* density: 11.929 Mg/m³
* DFT total energy: -4.42 eV per atom
* E above lowest polymorph: 268 meV/atom

---

No. 7
TlIn2W: relaxed, GGA-PBE.

abc: 5.6569 5.6569 5.6569
angles: 140.34 131.13 64.68
Element x y z (fractional)
Tl 0.4896 0.4896 0.0000
In 0.7509 0.2509 0.5000
W 0.2472 0.7472 0.5000
In 0.0124 0.0124 0.0000

Properties
* calculated formation energy: 0.763 eV/atom
* density: 11.953 Mg/m³
* DFT total energy: -4.44 eV per atom
* E above lowest polymorph: 249 meV/atom

---

No. 8
TlIn2W: relaxed, GGA-PBE.

abc: 3.0669 5.3283 5.3722
angles: 90.00 90.00 90.00
Element x y z (fractional)
In 0.0000 0.0000 0.0000
W 0.0000 0.5000 0.5000
In 0.5000 0.5000 0.0000
Tl 0.5000 0.0000 0.5000

Properties
* calculated formation energy: 0.783 eV/atom
* density: 11.687 Mg/m³
* DFT total energy: -4.42 eV per atom
* E above lowest polymorph: 269 meV/atom

---

No. 9
TlIn2W: relaxed, GGA-PBE.

abc: 6.9877 5.4567 3.0689
angles: 90.12 63.74 121.06
Element x y z (fractional)
In 0.5000 0.0000 0.5000
In 0.0000 0.0000 0.0000
Tl 0.0000 0.5000 0.5000
W 0.5000 0.5000 0.0000

Properties
* calculated formation energy: 0.733 eV/atom
* density: 11.942 Mg/m³
* DFT total energy: -4.47 eV per atom
* E above lowest polymorph: 219 meV/atom

---

No. 10
TlIn3W: relaxed, GGA-PBE.

abc: 5.3497 5.3497 5.3497
angles: 90.00 90.00 90.00
Element x y z (fractional)
In 0.0000 0.0000 0.5000
Tl 0.5000 0.5000 0.5000
In 0.5000 0.0000 0.0000
W 0.0000 0.0000 0.0000
In 0.0000 0.5000 0.0000

Properties
* calculated formation energy: 0.538 eV/atom
* density: 7.946 Mg/m³
* DFT total energy: -4.17 eV per atom
* E above lowest polymorph: 0 meV/atom

---

No. 11
Y5Tl2In2: relaxed, GGA-PBE.

abc: 7.9402 8.2181 9.0248
angles: 117.08 90.00 90.00
Element x y z (fractional)
Tl 0.0000 0.2120 0.4240
Tl 0.5000 0.2880 0.5760
Y 0.3282 0.9550 0.2750
Y 0.6718 0.3201 0.2750
Tl 0.5000 0.7120 0.4240
In 0.3737 0.1253 0.0000
In 0.6263 0.8747 0.0000
In 0.1263 0.6253 0.0000
Y 0.0000 0.0000 0.0000
Y 0.3282 0.6799 0.7250
Y 0.5000 0.5000 0.0000
Y 0.1718 0.1799 0.7250
Tl 0.0000 0.7880 0.5760
Y 0.8282 0.8201 0.2750
Y 0.8282 0.5450 0.7250
Y 0.6718 0.0450 0.7250
In 0.8737 0.3747 0.0000
Y 0.1718 0.4550 0.2750

Properties
* calculated formation energy: -0.406 eV/atom
* density: 6.859 Mg/m³
* DFT total energy: -5.13 eV per atom
* E above lowest polymorph: 0 meV/atom

---

No. 12
YTlIn: relaxed, GGA-PBE.

abc: 7.9212 7.9212 8.4782
angles: 114.69 114.69 96.07
Element x y z (fractional)
In 0.4473 0.9473 0.8946
In 0.0527 0.5527 0.1054
Y 0.1618 0.1618 0.0000
Tl 0.6250 0.8750 0.2500
Y 0.0882 0.5882 0.5000
Tl 0.6250 0.3750 0.7500
In 0.1973 0.1973 0.3946
Y 0.8382 0.8382 0.0000
Y 0.4118 0.9118 0.5000
In 0.8027 0.8027 0.6054
Tl 0.1250 0.3750 0.7500
Tl 0.6250 0.3750 0.2500

Properties
* calculated formation energy: 0.132 eV/atom
* density: 6.563 Mg/m³
* DFT total energy: -3.72 eV per atom
* E above lowest polymorph: 434 meV/atom

---

No. 13
YTlIn: relaxed, GGA-PBE.

abc: 6.8095 6.6838 3.6419
angles: 76.25 72.45 31.30
Element x y z (fractional)
Y 0.6645 0.6645 0.3355
In 0.9970 0.9970 0.0030
Tl 0.3385 0.3385 0.6615

Properties
* calculated formation energy: -0.207 eV/atom
* density: 8.261 Mg/m³
* DFT total energy: -4.06 eV per atom
* E above lowest polymorph: 95 meV/atom

---

No. 14
YTl2In2: relaxed, GGA-PBE.

abc: 8.4471 8.4471 3.9450
angles: 90.00 90.00 90.00
Element x y z (fractional)
Tl 0.6738 0.8262 0.5000
Y 0.0000 0.0000 0.0000
Tl 0.1738 0.6738 0.5000
In 0.8728 0.6272 0.0000
Y 0.5000 0.5000 0.0000
Tl 0.3262 0.1738 0.5000
In 0.1272 0.3728 0.0000
In 0.6272 0.1272 0.0000
In 0.3728 0.8728 0.0000
Tl 0.8262 0.3262 0.5000

Properties
* calculated formation energy: -0.049 eV/atom
* density: 8.581 Mg/m³
* DFT total energy: -3.38 eV per atom
* E above lowest polymorph: 0 meV/atom

---

No. 15
Y2TlIn: relaxed, GGA-PBE.

abc: 3.6286 3.6286 8.7154
angles: 90.00 90.00 90.00
Element x y z (fractional)
Y 0.0000 0.0000 0.9838
Y 0.5000 0.5000 0.2691
Tl 0.5000 0.5000 0.7354
In 0.0000 0.0000 0.5117

Properties
* calculated formation energy: -0.189 eV/atom
* density: 7.192 Mg/m³
* DFT total energy: -4.70 eV per atom

---

No. 16
Y2TlIn: relaxed, GGA-PBE.

abc: 6.4224 6.4224 6.4224
angles: 144.24 133.91 59.67
Element x y z (fractional)
Y 0.0053 0.0053 0.0000
Y 0.7461 0.2461 0.5000
Tl 0.2654 0.7654 0.5000
In 0.4831 0.4831 0.0000

Properties
* calculated formation energy: -0.381 eV/atom
* density: 7.471 Mg/m³
* DFT total energy: -4.89 eV per atom

---

No. 17
Y5Tl4In: relaxed, GGA-PBE.

abc: 3.7598 3.7598 19.3143
angles: 90.00 90.00 90.00
Element x y z (fractional)
Y 0.5000 0.5000 0.9020
Tl 0.0000 0.0000 0.3994
Tl 0.0000 0.0000 0.6006
In 0.0000 0.0000 0.0000
Y 0.5000 0.5000 0.2987
Tl 0.0000 0.0000 0.1986
Y 0.5000 0.5000 0.0980
Tl 0.0000 0.0000 0.8014
Y 0.5000 0.5000 0.7013
Y 0.5000 0.5000 0.5000

Properties
* calculated formation energy: -0.401 eV/atom
* density: 8.374 Mg/m³
* DFT total energy: -4.85 eV per atom

---

No. 18
YTlIn: relaxed, GGA-PBE.

abc: 5.1257 5.1257 5.1257
angles: 60.00 60.00 60.00
Element x y z (fractional)
Tl 0.5000 0.5000 0.5000
Y 0.7500 0.7500 0.7500
In 0.0000 0.0000 0.0000

Properties
* calculated formation energy: -0.031 eV/atom
* density: 7.117 Mg/m³
* DFT total energy: -3.89 eV per atom
* E above lowest polymorph: 271 meV/atom

---

No. 19
Y5TlIn4: relaxed, GGA-PBE.

abc: 3.7505 3.7505 19.0938
angles: 90.00 90.00 90.00
Element x y z (fractional)
In 0.0000 0.0000 0.4008
Y 0.5000 0.5000 0.6983
Y 0.5000 0.5000 0.3017
Y 0.5000 0.5000 0.5000
In 0.0000 0.0000 0.2017
Y 0.5000 0.5000 0.1022
In 0.0000 0.0000 0.5992
Tl 0.0000 0.0000 0.0000
Y 0.5000 0.5000 0.8978
In 0.0000 0.0000 0.7983

Properties
* calculated formation energy: -0.474 eV/atom
* density: 6.852 Mg/m³
* DFT total energy: -5.04 eV per atom

---

No. 20
YTlIn3: relaxed, GGA-PBE.

abc: 5.8977 5.8977 5.8977
angles: 90.00 90.00 90.00
Element x y z (fractional)
In 0.0000 0.0000 0.5000
In 0.5000 0.0000 0.0000
Tl 0.5000 0.5000 0.5000
Y 0.0000 0.0000 0.0000
In 0.0000 0.5000 0.0000

Properties
* calculated formation energy: 0.446 eV/atom
* density: 5.162 Mg/m³
* DFT total energy: -2.96 eV per atom
* E above lowest polymorph: 0 meV/atom

---

No. 21
Y4TlIn3: relaxed, GGA-PBE.

abc: 3.7663 3.7663 15.1763
angles: 90.00 90.00 90.00
Element x y z (fractional)
Y 0.0000 0.0000 0.1278
Y 0.0000 0.0000 0.8722
Y 0.0000 0.0000 0.6235
Y 0.0000 0.0000 0.3765
In 0.5000 0.5000 0.2521
Tl 0.5000 0.5000 0.0000
In 0.5000 0.5000 0.7479
In 0.5000 0.5000 0.5000

Properties
* calculated formation energy: -0.470 eV/atom
* density: 6.976 Mg/m³
* DFT total energy: -5.02 eV per atom

---

No. 22
Y4TlIn: relaxed, GGA-PBE.

abc: 5.1957 5.1962 8.9897
angles: 73.22 73.20 60.00
Element x y z (fractional)
Y 0.6244 0.6248 0.1263
Y 0.8744 0.8745 0.3767
Y 0.1256 0.1255 0.6233
Y 0.3756 0.3752 0.8737
Tl 0.0000 0.0000 0.0000
In 0.5000 0.5000 0.5000

Properties
* calculated formation energy: -0.118 eV/atom
* density: 5.655 Mg/m³
* DFT total energy: -5.28 eV per atom
* E above lowest polymorph: 0 meV/atom

---

No. 23
Y4Tl3In: relaxed, GGA-PBE.

abc: 3.7854 3.7854 15.1950
angles: 90.00 90.00 90.00
Element x y z (fractional)
Y 0.0000 0.0000 0.8771
Y 0.0000 0.0000 0.1229
Tl 0.5000 0.5000 0.2485
In 0.5000 0.5000 0.0000
Tl 0.5000 0.5000 0.5000
Y 0.0000 0.0000 0.3740
Y 0.0000 0.0000 0.6260
Tl 0.5000 0.5000 0.7515

Properties
* calculated formation energy: -0.410 eV/atom
* density: 8.264 Mg/m³
* DFT total energy: -4.87 eV per atom

---

No. 24
Y6TlIn: relaxed, GGA-PBE.

abc: 8.6970 8.6985 6.1493
angles: 45.00 45.00 59.98
Element x y z (fractional)
In 0.5000 0.5000 0.5000
Y 0.7496 0.9995 0.7518
Y 0.9993 0.4999 0.7511
Y 0.4989 0.7496 0.7515
Y 0.2504 0.0005 0.2482
Y 0.0007 0.5001 0.2489
Tl 0.0000 0.0000 0.0000
Y 0.5011 0.2504 0.2485

Properties
* calculated formation energy: -0.191 eV/atom
* density: 6.087 Mg/m³
* DFT total energy: -5.68 eV per atom
* E above lowest polymorph: 47 meV/atom

---

No. 25
YTlIn: relaxed, GGA-PBE.

abc: 3.5108 3.5108 7.9227
angles: 90.00 90.00 120.00
Element x y z (fractional)
Tl 0.3333 0.6667 0.3277
Y 0.6667 0.3333 0.6693
In 0.0000 0.0000 0.0029

Properties
* calculated formation energy: -0.091 eV/atom
* density: 8.013 Mg/m³
* DFT total energy: -3.95 eV per atom
* E above lowest polymorph: 210 meV/atom

---

No. 26
YTl2In2: relaxed, GGA-PBE.

abc: 8.5384 8.5384 3.8422
angles: 90.00 90.00 90.00
Element x y z (fractional)
In 0.6649 0.8351 0.5000
In 0.8351 0.3351 0.5000
In 0.1649 0.6649 0.5000
Y 0.0000 0.0000 0.0000
Tl 0.8647 0.6353 0.0000
Tl 0.6353 0.1353 0.0000
Tl 0.3647 0.8647 0.0000
Tl 0.1353 0.3647 0.0000
In 0.3351 0.1649 0.5000
Y 0.5000 0.5000 0.0000

Properties
* calculated formation energy: -0.043 eV/atom
* density: 8.623 Mg/m³
* DFT total energy: -3.38 eV per atom
* E above lowest polymorph: 6 meV/atom

---

No. 27
Y2TlIn: relaxed, GGA-PBE.

abc: 3.6883 4.9659 6.3629
angles: 90.00 90.00 90.00
Element x y z (fractional)
Y 0.5000 0.5000 0.2972
Y 0.0000 0.0000 0.9574
In 0.0000 0.0000 0.4513
Tl 0.5000 0.5000 0.7941

Properties
* calculated formation energy: -0.233 eV/atom
* density: 7.082 Mg/m³
* DFT total energy: -4.74 eV per atom